[1]
Entry from Alexandria via LeMat-Bulk: a relaxed CsBaSiHO4 crystal (PBE-GGA).

Cell lengths 5.9238, 8.6906, 6.4829 Å; angles 90.00, 116.85, 90.00 degrees
Fractional coordinates of all 16 atoms:
Cs: 0.1475 0.0000 0.3830
Cs: 0.8525 0.5000 0.6170
Ba: 0.4840 0.2543 0.9124
Ba: 0.5160 0.7543 0.0876
Si: 0.1679 0.4264 0.2411
Si: 0.8321 0.9264 0.7589
H: 0.0040 0.6660 0.0907
H: 0.9960 0.1660 0.9093
O: 0.0166 0.0880 0.8003
O: 0.0267 0.7917 0.9227
O: 0.2947 0.3819 0.5156
O: 0.3770 0.4694 0.1481
O: 0.6230 0.9694 0.8519
O: 0.7053 0.8819 0.4844
O: 0.9733 0.2917 0.0773
O: 0.9834 0.5880 0.1997

Values from the calculation:
total energy	-50.072	eV per formula unit
symmetry	No. 4
N(E_F)	0.0	states/eV/f.u.

---

[2]
Entry from Alexandria via LeMat-Bulk: a relaxed CsBaH4Pd crystal (PBE-GGA).

Cell lengths 5.8857, 5.9130, 8.8379 Å; angles 90.00, 102.90, 90.00 degrees
Fractional coordinates of all 14 atoms:
Cs: 0.2230 0.2500 0.4157
Cs: 0.7770 0.7500 0.5843
Ba: 0.2772 0.7500 0.0501
Ba: 0.7228 0.2500 0.9499
H: 0.0770 0.7500 0.3421
H: 0.2098 0.5291 0.7863
H: 0.2098 0.9709 0.7863
H: 0.2892 0.2500 0.0103
H: 0.7108 0.7500 0.9897
H: 0.7902 0.0291 0.2137
H: 0.7902 0.4709 0.2137
H: 0.9230 0.2500 0.6579
Pd: 0.1599 0.2500 0.8130
Pd: 0.8401 0.7500 0.1870

Values from the calculation:
total energy	-23.664	eV per formula unit
symmetry	No. 11
N(E_F)	2.0	states/eV/f.u.

---

[3]
Entry from Alexandria via LeMat-Bulk: a relaxed CsBaHPt2 crystal (PBE-GGA).

Cell lengths 4.5961, 4.5961, 5.1319 Å; angles 90.00, 90.00, 90.00 degrees
Fractional coordinates of all 5 atoms:
Cs: 0.0000 0.0000 0.0000
Ba: 0.5000 0.5000 0.0000
H: 0.0000 0.0000 0.5000
Pt: 0.0000 0.5000 0.5000
Pt: 0.5000 0.0000 0.5000

Values from the calculation:
total energy	-17.209	eV per formula unit
symmetry	No. 123
N(E_F)	1.1	states/eV/f.u.

---

[4]
Entry from Alexandria via LeMat-Bulk: a relaxed Cs2BaH8Rh crystal (PBE-GGA).

Cell lengths 6.2623, 6.2623, 6.6449 Å; angles 90.00, 90.00, 120.00 degrees
Fractional coordinates of all 12 atoms:
Cs: 0.3333 0.6667 0.3674
Cs: 0.6667 0.3333 0.6326
Ba: 0.0000 0.0000 0.0000
H: 0.1252 0.2504 0.6491
H: 0.1252 0.8748 0.6491
H: 0.2504 0.1252 0.3509
H: 0.3333 0.6667 0.9143
H: 0.6667 0.3333 0.0857
H: 0.7496 0.8748 0.6491
H: 0.8748 0.1252 0.3509
H: 0.8748 0.7496 0.3509
Rh: 0.0000 0.0000 0.5000

Values from the calculation:
total energy	-39.203	eV per formula unit
symmetry	No. 164
N(E_F)	4.0	states/eV/f.u.

---

[5]
Entry from Alexandria via LeMat-Bulk: a relaxed CsBa2TcH crystal (PBE-GGA).

Cell lengths 6.7594, 6.7594, 4.6017 Å; angles 90.00, 90.00, 90.00 degrees
Fractional coordinates of all 5 atoms:
Cs: 0.0000 0.0000 0.0000
Ba: 0.0000 0.5000 0.0000
Ba: 0.5000 0.0000 0.0000
Tc: 0.5000 0.5000 0.5000
H: 0.0000 0.0000 0.5000

Values from the calculation:
total energy	-11.423	eV per formula unit
symmetry	No. 123
N(E_F)	7.5	states/eV/f.u.

---

[6]
Entry from Alexandria via LeMat-Bulk: a relaxed Cs2BaTcH6 crystal (PBE-GGA).

Cell lengths 6.6253, 6.6253, 6.3599 Å; angles 90.00, 90.00, 120.00 degrees
Fractional coordinates of all 10 atoms:
Cs: 0.3333 0.6667 0.1239
Cs: 0.6667 0.3333 0.8761
Ba: 0.0000 0.0000 0.5000
Tc: 0.0000 0.0000 0.0000
H: 0.1309 0.2618 0.8384
H: 0.1309 0.8691 0.8384
H: 0.2618 0.1309 0.1616
H: 0.7382 0.8691 0.8384
H: 0.8691 0.1309 0.1616
H: 0.8691 0.7382 0.1616

Values from the calculation:
total energy	-35.438	eV per formula unit
symmetry	No. 164
N(E_F)	6.4	states/eV/f.u.

---

N(E_F) of number 2 (CsBaH4Pd)? 2.0 states/eV/f.u.

---

Number 3 is which compound? CsBaHPt2

---

Which of these has the lowest N(E_F)? CsBaSiHO4

---

Which value of N(E_F) does entry 4 give? 4.0 states/eV/f.u.